Entry 1:
A plane-wave DFT calculation with GGA-PBE was carried out for an optimized crystal structure of RbSbTe2Au.

Values from the calculation:
Total DFT energy (no corrections)   -3.185 eV/atom
E_form (uncorrected)   -24.6 kJ per mole of atoms
Theoretical density   6.16 g/cm3
N(E_F)   0.184 states/eV/atom
Polymorph energy (0 for the lowest one)   0 meV per atom

a b c (Å): 6.3181 16.2503 6.9243
angles (deg): 90.00 90.00 90.00
Closest atoms and distances in Å follow each position.
Space group Cmme (No. 67)
Unique sites:
Rb 0.0000 0.2500 0.2472 (multiplicity 4)  8 Te 3.72-4.07
Sb 0.2500 0.0000 0.0000 (multiplicity 4)  2 Sb 3.16, 4 Te 3.21
Te 0.0000 0.1289 0.7320 (multiplicity 8)  1 Au 2.64
Au 0.0000 0.0000 0.5000 (multiplicity 4)  2 Te 2.64



Entry 2:
A plane-wave DFT calculation with GGA-PBE was carried out for an optimized crystal structure of CoAg2Cl.

Values from the calculation:
Total DFT energy (no corrections)   -3.434 eV/atom
E_form (uncorrected)   22.2 kJ per mole of atoms
Theoretical density   7.26 g/cm3
N(E_F)   1.121 states/eV/atom
Polymorph energy (0 for the lowest one)   101 meV per atom

a b c (Å): 3.1112 5.1195 8.9093
angles (deg): 90.00 90.00 90.00
Closest atoms and distances in Å follow each position.
Space group Cmm2 (No. 35)
Unique sites:
Co 0.0000 0.0000 0.0000 (multiplicity 2)  2 Cl 2.26
Ag 0.0000 0.0000 0.5096 (multiplicity 2)  8 Ag 2.84-3.11, 2 Cl 3.14
Ag 0.0000 0.5000 0.2436 (multiplicity 2)  2 Co 2.67, 2 Ag 2.84
Cl 0.0000 0.5000 0.8161 (multiplicity 2)  2 Co 2.26



Entry 3:
A plane-wave DFT calculation with GGA-PBE was carried out for an optimized crystal structure of In2SbCl.

Values from the calculation:
Total DFT energy (no corrections)   -3.243 eV/atom
E_form (uncorrected)   -36.8 kJ per mole of atoms
Theoretical density   5.38 g/cm3
N(E_F)   0.180 states/eV/atom
Polymorph energy (0 for the lowest one)   0 meV per atom

a b c (Å): 4.4192 4.4192 6.1091
angles (deg): 90.00 90.00 90.00
Closest atoms and distances in Å follow each position.
Space group P4/mmm (No. 123)
Unique sites:
In 0.0000 0.0000 0.0000 (multiplicity 1)  2 Sb 3.05, 4 Cl 3.12
In 0.5000 0.5000 0.5000 (multiplicity 1)  2 Cl 3.05, 4 Sb 3.12
Sb 0.0000 0.0000 0.5000 (multiplicity 1)  6 In 3.05-3.12
Cl 0.5000 0.5000 0.0000 (multiplicity 1)  6 In 3.05-3.12



Entry 4:
A plane-wave DFT calculation with GGA-PBE was carried out for an optimized crystal structure of Tb12Nd6Mg.

Values from the calculation:
Total DFT energy (no corrections)   -4.390 eV/atom
Theoretical density   7.38 g/cm3
N(E_F)   1.490 states/eV/atom
Polymorph energy (0 for the lowest one)   0 meV per atom

a b c (Å): 12.0106 12.0106 15.1171
angles (deg): 90.00 90.00 120.00
Closest atoms and distances in Å follow each position.
Space group R-3 (No. 148, hexagonal axes)
Unique sites:
Tb 0.0012 0.8279 0.3121 (multiplicity 18)  4 Nd 3.47-3.69, 4 Tb 3.48-3.65, 1 Mg 3.52
Tb 0.0470 0.1948 0.9159 (multiplicity 18)  6 Tb 3.31-3.66, 3 Nd 3.36-3.44
Nd 0.0142 0.5913 0.1853 (multiplicity 18)  7 Tb 3.36-3.69, 1 Mg 3.48, 2 Nd 3.52
Mg 0.0000 0.0000 0.5000 (multiplicity 3)  6 Nd 3.48, 6 Tb 3.52



Entry 5:
A plane-wave DFT calculation with GGA-PBE was carried out for an optimized crystal structure of MgHgP4.

Values from the calculation:
Total DFT energy (no corrections)   -3.619 eV/atom
Theoretical density   3.10 g/cm3
N(E_F)   0.023 states/eV/atom

a b c (Å): 9.0797 9.0797 9.0797
angles (deg): 90.00 90.00 90.00
Closest atoms and distances in Å follow each position.
Space group F-43m (No. 216)
Unique sites:
Mg 0.0000 0.0000 0.0000 (multiplicity 4)  12 P 3.92, 4 Hg 3.93
Hg 0.2500 0.2500 0.2500 (multiplicity 4)  12 P 3.71, 4 Mg 3.93
P 0.0860 0.0860 0.5860 (multiplicity 16)  3 P 2.21



Entry 6:
A plane-wave DFT calculation with GGA-PBE was carried out for an optimized crystal structure of DyY6Tm2Sc.

Values from the calculation:
Total DFT energy (no corrections)   -5.738 eV/atom
Theoretical density   5.72 g/cm3
N(E_F)   1.515 states/eV/atom

a b c (Å): 9.0706 14.7747 9.4280
angles (deg): 90.00 97.65 90.00
Closest atoms and distances in Å follow each position.
Space group C2/c (No. 15)
Unique sites:
Dy 0.0000 0.0238 0.2500 (multiplicity 4)  4 Tm 3.33-3.41, 4 Y 3.51-3.58
Y 0.0607 0.1837 0.9451 (multiplicity 8)  7 Y 3.41-3.70, 1 Tm 3.45, 1 Dy 3.58
Y 0.0990 0.3934 0.1144 (multiplicity 8)  3 Tm 3.19-3.38, 4 Y 3.26-3.48, 2 Sc 3.30-3.45
Y 0.2170 0.2204 0.3121 (multiplicity 8)  5 Y 3.26-3.64, 2 Tm 3.35-3.62, 1 Sc 3.35, 1 Dy 3.51
Tm 0.2490 0.4494 0.4506 (multiplicity 8)  5 Y 3.19-3.45, 2 Dy 3.33-3.41, 1 Sc 3.41
Sc 0.0000 0.4132 0.7500 (multiplicity 4)  6 Y 3.30-3.45, 2 Tm 3.41



Entry 7:
A plane-wave DFT calculation with GGA-PBE was carried out for an optimized crystal structure of Mg3ZrSe.

Values from the calculation:
Total DFT energy (no corrections)   -3.047 eV/atom
E_form (uncorrected)   30.5 kJ per mole of atoms
Theoretical density   3.16 g/cm3
N(E_F)   1.828 states/eV/atom
Polymorph energy (0 for the lowest one)   0 meV per atom

a b c (Å): 5.0389 5.0389 5.0389
angles (deg): 90.00 90.00 90.00
Closest atoms and distances in Å follow each position.
Space group Pm-3m (No. 221)
Unique sites:
Mg 0.0000 0.0000 0.5000 (multiplicity 3)  2 Se 2.52
Zr 0.5000 0.5000 0.5000 (multiplicity 1)  12 Mg 3.56
Se 0.0000 0.0000 0.0000 (multiplicity 1)  6 Mg 2.52



Entry 8:
A plane-wave DFT calculation with GGA-PBE was carried out for an optimized crystal structure of K2Si2Sb.

Values from the calculation:
Total DFT energy (no corrections)   -2.726 eV/atom
E_form (uncorrected)   68.2 kJ per mole of atoms
Theoretical density   2.80 g/cm3
N(E_F)   0.716 states/eV/atom
Polymorph energy (0 for the lowest one)   679 meV per atom

a b c (Å): 10.3584 10.3584 2.8352
angles (deg): 90.00 90.00 90.00
Closest atoms and distances in Å follow each position.
Space group P4/mbm (No. 127)
Unique sites:
K 0.1281 0.3719 0.0000 (multiplicity 4)  2 K 2.84
Si 0.1716 0.6716 0.5000 (multiplicity 4)  2 Si 2.84
Sb 0.0000 0.0000 0.0000 (multiplicity 2)  2 Sb 2.84